Record 1
! LiTlNi2N GGA-PBE relaxed; values from VASP
! Uncorrected energy (Ry/atom): -0.3592
&SYSTEM
  ibrav = 0, nat = 5, ntyp = 4
/
ATOMIC_SPECIES
Ni 58.69 Ni.upf
Tl 204.38 Tl.upf
Li 6.94 Li.upf
N 14.01 N.upf
ATOMIC_POSITIONS crystal
Ni 0.000 0.500 0.000
Ni 0.500 0.000 0.000
Tl 0.500 0.500 0.500
Li 0.000 0.000 0.500
N 0.000 0.000 0.000
CELL_PARAMETERS angstrom
3.852 0.000 0.000
0.000 3.852 0.000
0.000 0.000 4.125

Record 2
! LiUNiN3 GGA-PBE relaxed; values from VASP
! Uncorrected energy (Ry/atom): -0.5857
&SYSTEM
  ibrav = 0, nat = 12, ntyp = 4
/
ATOMIC_SPECIES
Li 6.94 Li.upf
U 238.03 U.upf
Ni 58.69 Ni.upf
N 14.01 N.upf
ATOMIC_POSITIONS crystal
Li 0.250 0.160 0.123
Li 0.750 0.840 0.877
U 0.250 0.681 0.154
U 0.750 0.319 0.846
Ni 0.250 0.020 0.626
Ni 0.750 0.980 0.374
N 0.750 0.886 0.136
N 0.250 0.114 0.864
N 0.250 0.886 0.399
N 0.750 0.114 0.601
N 0.750 0.445 0.117
N 0.250 0.555 0.883
CELL_PARAMETERS angstrom
-1.180 -3.040 1.293
5.647 -2.577 -0.906
0.682 3.004 7.683

Record 3
! Li3U2NiN6 GGA-PBE relaxed; values from VASP
! Uncorrected energy (Ry/atom): -0.5674
&SYSTEM
  ibrav = 0, nat = 12, ntyp = 4
/
ATOMIC_SPECIES
Li 6.94 Li.upf
U 238.03 U.upf
Ni 58.69 Ni.upf
N 14.01 N.upf
ATOMIC_POSITIONS crystal
Li 0.148 0.852 0.500
Li 0.852 0.148 0.500
Li 0.500 0.500 0.500
U 0.325 0.675 0.000
U 0.675 0.325 0.000
Ni 0.000 0.000 0.000
N 0.924 0.603 0.801
N 0.701 0.701 0.246
N 0.076 0.397 0.199
N 0.603 0.924 0.801
N 0.299 0.299 0.754
N 0.397 0.076 0.199
CELL_PARAMETERS angstrom
-2.968 -4.134 -2.271
5.387 -0.250 -1.401
-0.218 -0.834 5.820

Record 4
! LiNiWN3 GGA-PBE relaxed; values from VASP
! Uncorrected energy (Ry/atom): -0.5697
&SYSTEM
  ibrav = 0, nat = 12, ntyp = 4
/
ATOMIC_SPECIES
Li 6.94 Li.upf
Ni 58.69 Ni.upf
W 183.84 W.upf
N 14.01 N.upf
ATOMIC_POSITIONS crystal
Li 0.250 0.172 0.119
Li 0.750 0.828 0.881
Ni 0.250 0.983 0.616
Ni 0.750 0.017 0.384
W 0.250 0.690 0.168
W 0.750 0.310 0.832
N 0.750 0.923 0.146
N 0.250 0.077 0.854
N 0.250 0.792 0.403
N 0.750 0.208 0.597
N 0.750 0.449 0.122
N 0.250 0.551 0.878
CELL_PARAMETERS angstrom
2.978 0.000 0.000
0.000 5.892 -0.501
0.000 -2.260 8.406

Record 5
! Li2ZnNiN2 GGA-PBE relaxed; values from VASP
! Uncorrected energy (Ry/atom): -0.3512
&SYSTEM
  ibrav = 0, nat = 12, ntyp = 4
/
ATOMIC_SPECIES
Li 6.94 Li.upf
Zn 65.41 Zn.upf
Ni 58.69 Ni.upf
N 14.01 N.upf
ATOMIC_POSITIONS crystal
Li 0.500 0.176 0.244
Li 0.000 0.676 0.256
Li 0.500 0.824 0.756
Li 0.000 0.324 0.744
Zn 0.000 0.000 0.000
Zn 0.500 0.500 0.500
Ni 0.500 0.500 0.000
Ni 0.000 0.000 0.500
N 0.500 0.838 0.384
N 0.500 0.162 0.616
N 0.000 0.662 0.884
N 0.000 0.338 0.116
CELL_PARAMETERS angstrom
2.926 0.000 0.000
0.000 4.636 0.000
0.000 0.000 9.261

Record 6
! Li2ZnNiN GGA-PBE relaxed; values from VASP
! Uncorrected energy (Ry/atom): -0.2993
&SYSTEM
  ibrav = 0, nat = 5, ntyp = 4
/
ATOMIC_SPECIES
Ni 58.69 Ni.upf
Zn 65.41 Zn.upf
Li 6.94 Li.upf
N 14.01 N.upf
ATOMIC_POSITIONS crystal
Ni 0.000 0.000 0.500
Zn 0.500 0.500 0.500
Li 0.000 0.500 0.000
Li 0.500 0.000 0.000
N 0.000 0.000 0.000
CELL_PARAMETERS angstrom
4.142 0.000 0.000
0.000 4.142 0.000
0.000 0.000 3.520

The lowest uncorrected energy belongs to which entry? LiUNiN3

uncorrected energy of number 3 (Li3U2NiN6)? -0.5674 Ry/atom

Which of these has the highest uncorrected energy? Li2ZnNiN